No. 1
# Sm2ZnS PBE relaxed
# total moment	0.00	μB per formula unit
# formation energy (no corrections)	-1.160	eV per atom
# crystal system	orthorhombic
# symmetry	No. 63
# ΔE to the lowest computed polymorph	0.000	eV/f.u.
# DFT total energy	-4.870	eV/atom
data_Sm2ZnS
_chemical_formula_sum 'Sm8 Zn4 S4'
_cell_length_a 3.956
_cell_length_b 23.272
_cell_length_c 4.189
_cell_angle_alpha 90.00
_cell_angle_beta 90.00
_cell_angle_gamma 90.00
_space_group_name_H-M_alt 'P 1'
_space_group_IT_number 1
loop_
_space_group_symop_operation_xyz
'x,y,z'
loop_
_atom_site_label
_atom_site_type_symbol
_atom_site_fract_x
_atom_site_fract_y
_atom_site_fract_z
_atom_site_occupancy
Sm1 Sm 0.000 0.073 0.250 1
Sm2 Sm 0.000 0.312 0.250 1
Sm3 Sm 0.000 0.688 0.750 1
Sm4 Sm 0.000 0.927 0.750 1
Sm5 Sm 0.500 0.188 0.750 1
Sm6 Sm 0.500 0.427 0.750 1
Sm7 Sm 0.500 0.573 0.250 1
Sm8 Sm 0.500 0.812 0.250 1
Zn1 Zn 0.000 0.463 0.250 1
Zn2 Zn 0.000 0.537 0.750 1
Zn3 Zn 0.500 0.037 0.750 1
Zn4 Zn 0.500 0.963 0.250 1
S1 S 0.000 0.193 0.250 1
S2 S 0.000 0.807 0.750 1
S3 S 0.500 0.307 0.750 1
S4 S 0.500 0.693 0.250 1

No. 2
# NaMg2Pd PBE relaxed
# total moment	0.00	μB per formula unit
# crystal system	tetragonal
# symmetry	No. 123
# DFT total energy	-2.745	eV/atom
data_NaMg2Pd
_chemical_formula_sum 'Na1 Mg2 Pd1'
_cell_length_a 3.248
_cell_length_b 3.248
_cell_length_c 8.411
_cell_angle_alpha 90.00
_cell_angle_beta 90.00
_cell_angle_gamma 90.00
_space_group_name_H-M_alt 'P 1'
_space_group_IT_number 1
loop_
_space_group_symop_operation_xyz
'x,y,z'
loop_
_atom_site_label
_atom_site_type_symbol
_atom_site_fract_x
_atom_site_fract_y
_atom_site_fract_z
_atom_site_occupancy
Na1 Na 0.000 0.000 0.000 1
Mg1 Mg 0.500 0.500 0.320 1
Mg2 Mg 0.500 0.500 0.680 1
Pd1 Pd 0.000 0.000 0.500 1

No. 3
# CsK2RbO2 PBE relaxed
# total moment	0.00	μB per formula unit
# formation energy (no corrections)	-0.865	eV per atom
# crystal system	trigonal
# symmetry	No. 164
# DFT total energy	-3.187	eV/atom
data_CsK2RbO2
_chemical_formula_sum 'Cs1 K2 Rb1 O2'
_cell_length_a 4.574
_cell_length_b 4.574
_cell_length_c 8.374
_cell_angle_alpha 90.00
_cell_angle_beta 90.00
_cell_angle_gamma 120.00
_space_group_name_H-M_alt 'P 1'
_space_group_IT_number 1
loop_
_space_group_symop_operation_xyz
'x,y,z'
loop_
_atom_site_label
_atom_site_type_symbol
_atom_site_fract_x
_atom_site_fract_y
_atom_site_fract_z
_atom_site_occupancy
Cs1 Cs 0.000 0.000 0.000 1
K1 K 0.333 0.667 0.724 1
K2 K 0.667 0.333 0.276 1
Rb1 Rb 0.000 0.000 0.500 1
O1 O 0.333 0.667 0.270 1
O2 O 0.667 0.333 0.730 1

No. 4
# KRuPt2 PBE relaxed
# total moment	0.00	μB per formula unit
# crystal system	triclinic
# symmetry	No. 1
# ΔE to the lowest computed polymorph	0.285	eV/f.u.
# DFT total energy	-5.393	eV/atom
data_KRuPt2
_chemical_formula_sum 'K2 Ru2 Pt4'
_cell_length_a 5.365
_cell_length_b 5.523
_cell_length_c 6.094
_cell_angle_alpha 89.10
_cell_angle_beta 87.80
_cell_angle_gamma 67.75
_space_group_name_H-M_alt 'P 1'
_space_group_IT_number 1
loop_
_space_group_symop_operation_xyz
'x,y,z'
loop_
_atom_site_label
_atom_site_type_symbol
_atom_site_fract_x
_atom_site_fract_y
_atom_site_fract_z
_atom_site_occupancy
K1 K 0.000 0.000 0.000 1
K2 K 0.331 0.337 0.963 1
Ru1 Ru 0.415 0.922 0.499 1
Ru2 Ru 0.672 0.646 0.228 1
Pt1 Pt 0.432 0.383 0.458 1
Pt2 Pt 0.682 0.667 0.824 1
Pt3 Pt 0.955 0.308 0.503 1
Pt4 Pt 0.976 0.813 0.488 1

No. 5
# ZrFe2P PBE relaxed
# total moment	4.01	μB per formula unit
# crystal system	orthorhombic
# symmetry	No. 71
# DFT total energy	-7.980	eV/atom
data_ZrFe2P
_chemical_formula_sum 'Zr2 Fe4 P2'
_cell_length_a 3.615
_cell_length_b 3.752
_cell_length_c 8.488
_cell_angle_alpha 90.00
_cell_angle_beta 90.00
_cell_angle_gamma 90.00
_space_group_name_H-M_alt 'P 1'
_space_group_IT_number 1
loop_
_space_group_symop_operation_xyz
'x,y,z'
loop_
_atom_site_label
_atom_site_type_symbol
_atom_site_fract_x
_atom_site_fract_y
_atom_site_fract_z
_atom_site_occupancy
Zr1 Zr 0.000 0.000 0.000 1
Zr2 Zr 0.500 0.500 0.500 1
Fe1 Fe 0.000 0.500 0.249 1
Fe2 Fe 0.000 0.500 0.751 1
Fe3 Fe 0.500 0.000 0.251 1
Fe4 Fe 0.500 0.000 0.749 1
P1 P 0.000 0.000 0.500 1
P2 P 0.500 0.500 0.000 1

No. 6
# MgNi8H6 PBE relaxed
# total moment	0.00	μB per formula unit
# crystal system	trigonal
# symmetry	No. 148
# DFT total energy	-4.592	eV/atom
data_MgNi8H6
_chemical_formula_sum 'Mg1 Ni8 H6'
_cell_length_a 6.915
_cell_length_b 6.915
_cell_length_c 6.915
_cell_angle_alpha 38.47
_cell_angle_beta 38.47
_cell_angle_gamma 38.47
_space_group_name_H-M_alt 'P 1'
_space_group_IT_number 1
loop_
_space_group_symop_operation_xyz
'x,y,z'
loop_
_atom_site_label
_atom_site_type_symbol
_atom_site_fract_x
_atom_site_fract_y
_atom_site_fract_z
_atom_site_occupancy
Mg1 Mg 0.000 0.000 0.000 1
Ni1 Ni 0.113 0.444 0.784 1
Ni2 Ni 0.216 0.887 0.556 1
Ni3 Ni 0.334 0.334 0.334 1
Ni4 Ni 0.444 0.784 0.113 1
Ni5 Ni 0.556 0.216 0.887 1
Ni6 Ni 0.666 0.666 0.666 1
Ni7 Ni 0.784 0.113 0.444 1
Ni8 Ni 0.887 0.556 0.216 1
H1 H 0.068 0.704 0.428 1
H2 H 0.296 0.572 0.932 1
H3 H 0.428 0.068 0.704 1
H4 H 0.572 0.932 0.296 1
H5 H 0.704 0.428 0.068 1
H6 H 0.932 0.296 0.572 1

No. 7
# ReTeAs2W PBE relaxed
# total moment	3.61	μB per formula unit
# formation energy (no corrections)	1.401	eV per atom
# crystal system	tetragonal
# symmetry	No. 123
# DFT total energy	-6.168	eV/atom
data_ReTeAs2W
_chemical_formula_sum 'Re1 Te1 As2 W1'
_cell_length_a 4.657
_cell_length_b 4.657
_cell_length_c 5.730
_cell_angle_alpha 90.00
_cell_angle_beta 90.00
_cell_angle_gamma 90.00
_space_group_name_H-M_alt 'P 1'
_space_group_IT_number 1
loop_
_space_group_symop_operation_xyz
'x,y,z'
loop_
_atom_site_label
_atom_site_type_symbol
_atom_site_fract_x
_atom_site_fract_y
_atom_site_fract_z
_atom_site_occupancy
Re1 Re 0.000 0.000 0.000 1
Te1 Te 0.000 0.000 0.500 1
As1 As 0.000 0.500 0.000 1
As2 As 0.500 0.000 0.000 1
W1 W 0.500 0.500 0.500 1

No. 8
# BaYZr2 PBE relaxed
# total moment	0.00	μB per formula unit
# crystal system	tetragonal
# symmetry	No. 123
# ΔE to the lowest computed polymorph	0.570	eV/f.u.
# DFT total energy	-5.954	eV/atom
data_BaYZr2
_chemical_formula_sum 'Ba1 Y1 Zr2'
_cell_length_a 3.362
_cell_length_b 3.362
_cell_length_c 10.674
_cell_angle_alpha 90.00
_cell_angle_beta 90.00
_cell_angle_gamma 90.00
_space_group_name_H-M_alt 'P 1'
_space_group_IT_number 1
loop_
_space_group_symop_operation_xyz
'x,y,z'
loop_
_atom_site_label
_atom_site_type_symbol
_atom_site_fract_x
_atom_site_fract_y
_atom_site_fract_z
_atom_site_occupancy
Ba1 Ba 0.000 0.000 0.000 1
Y1 Y 0.000 0.000 0.500 1
Zr1 Zr 0.500 0.500 0.282 1
Zr2 Zr 0.500 0.500 0.718 1

Q: What is the formula in the first record?
A: Sm2ZnS

Q: Which value of DFT total energy does entry 6 give?
A: -4.592 eV/atom